This record from the Alexandria database describes LaCoRu2Rh after structural relaxation. The functional is GGA-PBE.

Space-group type: P4/mmm

Unit cell a=4.702 b=4.702 c=5.284 alpha=90.00 beta=90.00 gamma=90.00
Element x y z (fractional)
La: 0.000 0.000 0.000
Co: 0.500 0.500 0.000
Ru: 0.000 0.500 0.500
Ru: 0.500 0.000 0.500
Rh: 0.000 0.000 0.500

***

This record from the Alexandria database describes LiIr4Pt after structural relaxation. The functional is GGA-PBE.

Space-group type: F-43m

Unit cell a=5.153 b=5.153 c=5.153 alpha=60.00 beta=60.00 gamma=60.00
Element x y z (fractional)
Li: 0.000 0.000 0.000
Ir: 0.375 0.375 0.375
Ir: 0.375 0.375 0.875
Ir: 0.375 0.875 0.375
Ir: 0.875 0.375 0.375
Pt: 0.750 0.750 0.750

***

This record from the Alexandria database describes AcMg2Cu2Ge2 after structural relaxation. The functional is GGA-PBE.

Space-group type: R-3m

Unit cell a=8.951 b=8.951 c=8.951 alpha=28.12 beta=28.12 gamma=28.12
Element x y z (fractional)
Ac: 0.000 0.000 0.000
Mg: 0.136 0.136 0.136
Mg: 0.864 0.864 0.864
Cu: 0.424 0.424 0.424
Cu: 0.576 0.576 0.576
Ge: 0.250 0.250 0.250
Ge: 0.750 0.750 0.750

***

Number 1: DFT formation energy 1.327 eV/atom, final energy -6.26 eV/atom. Number 2: DFT formation energy 0.385 eV/atom, final energy -6.85 eV/atom. Number 3: DFT formation energy -0.397 eV/atom, final energy -3.93 eV/atom.